## AcSmPuAl (PBE)

Data for AcSmPuAl after structural relaxation.

Calculated values
electronic total energy = -104.82 eV per cell

Lattice parameters (Å, degrees): 7.802 7.802 7.802 90.00 90.00 90.00
Space group F-43m (No. 216)
Unique sites:
Ac (0.000, 0.000, 0.000) x4
Sm (0.250, 0.250, 0.750) x4
Pu (0.250, 0.250, 0.250) x4
Al (0.000, 0.000, 0.500) x4